No. 1
VASP calculation (PBEsol) on a geometry-optimized Ni5Pt7 structure.

a = 2.699 Å, b = 7.996 Å, c = 7.381 Å
α = 90.00°, β = 90.00°, γ = 90.00°
Fractional positions:
Ni: 0.000 0.000 0.000
Ni: 0.000 0.325 0.519
Ni: 0.000 0.675 0.519
Ni: 0.500 0.163 0.766
Ni: 0.500 0.837 0.766
Pt: 0.000 0.000 0.536
Pt: 0.000 0.326 0.002
Pt: 0.000 0.674 0.002
Pt: 0.500 0.165 0.265
Pt: 0.500 0.500 0.282
Pt: 0.500 0.500 0.741
Pt: 0.500 0.835 0.265

Summary:
polymorph energy (0 for the lowest one)	12	meV/atom
formation enthalpy at 0 K	-0.035	eV/atom

=====

No. 2
VASP calculation (PBEsol) on a geometry-optimized Ni4Pt structure.

a = 4.372 Å, b = 4.372 Å, c = 4.372 Å
α = 99.60°, β = 99.60°, γ = 131.79°
Fractional positions:
Ni: 0.097 0.305 0.402
Ni: 0.305 0.903 0.208
Ni: 0.695 0.097 0.792
Ni: 0.903 0.695 0.598
Pt: 0.500 0.500 0.000

Summary:
formation enthalpy at 0 K	-0.048	eV/atom

=====

No. 3
VASP calculation (PBEsol) on a geometry-optimized NiPt structure.

a = 4.592 Å, b = 4.592 Å, c = 4.592 Å
α = 132.62°, β = 132.62°, γ = 69.25°
Fractional positions:
Ni: 0.375 0.625 0.750
Ni: 0.625 0.375 0.250
Pt: 0.125 0.875 0.250
Pt: 0.875 0.125 0.750

Summary:
formation enthalpy at 0 K	-0.062	eV/atom

=====

No. 4
VASP calculation (PBEsol) on a geometry-optimized NiPt2 structure.

a = 7.249 Å, b = 7.249 Å, c = 2.700 Å
α = 90.00°, β = 90.00°, γ = 120.00°
Fractional positions:
Ni: 0.000 0.000 0.000
Ni: 0.333 0.667 0.500
Ni: 0.667 0.333 0.500
Pt: 0.000 0.368 0.000
Pt: 0.000 0.703 0.500
Pt: 0.297 0.297 0.500
Pt: 0.368 0.000 0.000
Pt: 0.632 0.632 0.000
Pt: 0.703 0.000 0.500

Summary:
formation enthalpy at 0 K	-0.005	eV/atom

=====

No. 5
VASP calculation (PBEsol) on a geometry-optimized Ni7Pt5 structure.

a = 5.225 Å, b = 5.815 Å, c = 5.815 Å
α = 72.31°, β = 63.73°, γ = 76.96°
Fractional positions:
Ni: 0.000 0.000 0.000
Ni: 0.080 0.318 0.180
Ni: 0.241 0.999 0.515
Ni: 0.325 0.322 0.677
Ni: 0.415 0.657 0.842
Ni: 0.752 0.997 0.508
Ni: 0.836 0.320 0.673
Pt: 0.159 0.659 0.338
Pt: 0.492 0.003 0.992
Pt: 0.584 0.314 0.181
Pt: 0.654 0.661 0.360
Pt: 0.927 0.659 0.840

Summary:
polymorph energy (0 for the lowest one)	13	meV/atom
formation enthalpy at 0 K	-0.038	eV/atom

=====

No. 6
VASP calculation (PBEsol) on a geometry-optimized Ni3Pt2 structure.

a = 4.515 Å, b = 5.244 Å, c = 5.755 Å
α = 103.28°, β = 96.94°, γ = 107.12°
Fractional positions:
Ni: 0.102 0.452 0.212
Ni: 0.301 0.838 0.594
Ni: 0.305 0.359 0.596
Ni: 0.695 0.641 0.404
Ni: 0.699 0.162 0.406
Ni: 0.898 0.548 0.788
Pt: 0.095 0.953 0.220
Pt: 0.487 0.743 0.997
Pt: 0.513 0.257 0.003
Pt: 0.905 0.047 0.780

Summary:
polymorph energy (0 for the lowest one)	0	meV/atom
formation enthalpy at 0 K	-0.038	eV/atom